Entry 1:
YTm3Sb4, optimized geometry, DFT PBE; uncorrected formation energy = -1095.9 meV per atom; space group = Pm-3m (221)
1.0
6.149 0.000 0.000
0.000 6.149 0.000
0.000 0.000 6.149
Sb Tm Y
4 3 1
direct
0.500 0.000 0.000
0.000 0.000 0.500
0.500 0.500 0.500
0.000 0.500 0.000
0.000 0.500 0.500
0.500 0.500 0.000
0.500 0.000 0.500
0.000 0.000 0.000

---

Entry 2:
RbCdPbF6, optimized geometry, DFT PBE; uncorrected formation energy = -2273.0 meV per atom; space group = P312 (149)
1.0
-4.244 -3.867 -2.295
-2.926 -3.957 3.742
-4.072 3.906 0.944
Pb F Cd Rb
1 6 1 1
direct
0.667 0.667 0.500
0.000 0.376 0.291
0.376 0.624 0.291
0.624 0.000 0.291
0.376 0.000 0.709
0.624 0.376 0.709
0.000 0.624 0.709
0.333 0.333 0.500
0.000 0.000 0.000

---

Entry 3:
K2ReNiS4, optimized geometry, DFT PBE; uncorrected formation energy = -663.0 meV per atom; space group = I-4 (82)
1.0
6.419 0.029 0.044
-2.709 5.819 -0.044
-2.709 -2.383 5.309
K S Re Ni
2 4 1 1
direct
0.000 0.000 0.000
0.500 0.750 0.250
0.372 0.880 0.772
0.109 0.228 0.600
0.891 0.492 0.120
0.628 0.400 0.508
0.000 0.500 0.500
0.500 0.250 0.750

---

Entry 4:
ScS, optimized geometry, DFT PBE; uncorrected formation energy = -1566.4 meV per atom; space group = Pmmn (59)
1.0
-1.089 -1.634 -3.291
2.187 -5.242 1.880
-11.119 -2.819 5.079
S Sc
6 6
direct
0.000 0.655 0.000
0.500 0.345 0.500
0.000 0.779 0.311
0.500 0.221 0.811
0.500 0.221 0.189
0.000 0.779 0.689
0.500 0.026 0.633
0.000 0.974 0.867
0.000 0.635 0.500
0.500 0.365 0.000
0.000 0.974 0.133
0.500 0.026 0.367

---

Entry 5:
U2CuGe3Pt4, optimized geometry, DFT PBE; energy of formation = -497 meV per atom; space group = P-4m2 (115)
1.0
-1.140 -3.029 -2.449
1.615 -2.689 2.574
-9.743 -0.691 5.391
Pt Cu Ge U
4 1 3 2
direct
0.500 0.000 0.646
0.000 0.000 0.000
0.000 0.500 0.354
0.500 0.500 0.000
0.500 0.500 0.500
0.000 0.000 0.500
0.500 0.000 0.864
0.000 0.500 0.136
0.500 0.000 0.256
0.000 0.500 0.744

---

Entry 6:
CdHg2W, optimized geometry, DFT PBE; energy of formation = 610 meV per atom; space group = P4/mmm (123)
1.0
-2.607 0.448 1.259
-1.325 -0.517 -2.561
-0.539 -9.064 2.109
W Cd Hg
1 1 2
direct
0.500 0.500 0.250
0.500 0.500 0.750
0.000 0.000 0.016
0.000 0.000 0.484